Entry from Alexandria: an optimized crystal structure of NaCa2Pd (PBE).

Computed properties:
Polymorph energy (0 for the lowest one)   16.8 kJ per mole of atoms

The structure in CIF format:
```
data_NaCa2Pd
_cell_length_a 5.190
_cell_length_b 5.190
_cell_length_c 4.009
_cell_angle_alpha 90.00
_cell_angle_beta 90.00
_cell_angle_gamma 90.00
_space_group_name_H-M_alt 'P 4/m m m'
_space_group_IT_number 123
_space_group_name_Hall '-P 4 2'
loop_
_atom_site_label
_atom_site_fract_x
_atom_site_fract_y
_atom_site_fract_z
Na1 0.000 0.000 0.000
Ca1 0.000 0.500 0.500
Pd1 0.500 0.500 0.000
```